Record 1
DFT (GGA-PBE) results for a relaxed Ta2Ir2Au crystal.

Lattice parameters (Å, degrees): 7.6701 7.6701 2.9288 90.00 90.00 90.00
Fractional coordinates of all 10 atoms:
Ta1 0.1626 0.3374 0.0000
Ta2 0.3374 0.8374 0.0000
Ta3 0.6626 0.1626 0.0000
Ta4 0.8374 0.6626 0.0000
Ir1 0.1326 0.6326 0.5000
Ir2 0.3674 0.1326 0.5000
Ir3 0.6326 0.8674 0.5000
Ir4 0.8674 0.3674 0.5000
Au1 0.0000 0.0000 0.5000
Au2 0.5000 0.5000 0.5000

The space-group type is P4/mbm. As for the polymorph energy (0 for the lowest one): 0 meV per atom. The calculation puts the energy of formation at -9.569 kcal/mol of atoms.

Record 2
DFT (GGA-PBE) results for a relaxed NaNdGaPb crystal.

Lattice parameters (Å, degrees): 5.3387 5.3387 5.3387 60.00 60.00 60.00
Fractional coordinates of all 4 atoms:
Na1 0.0000 0.0000 0.0000
Nd1 0.5000 0.5000 0.5000
Ga1 0.2500 0.2500 0.2500
Pb1 0.7500 0.7500 0.7500

The space-group type is F-43m. The calculation puts the energy of formation at -6.158 kcal/mol of atoms.

Record 3
DFT (GGA-PBE) results for a relaxed PmGa6Au4 crystal.

Lattice parameters (Å, degrees): 7.6940 7.6940 4.1299 90.00 90.00 120.00
Fractional coordinates of all 11 atoms:
Pm1 0.0000 0.0000 0.0000
Ga1 0.1991 0.3982 0.5000
Ga2 0.1991 0.8009 0.5000
Ga3 0.5359 0.0718 0.0000
Ga4 0.5359 0.4641 0.0000
Ga5 0.6018 0.8009 0.5000
Ga6 0.9282 0.4641 0.0000
Au1 0.3333 0.6667 0.0000
Au2 0.3868 0.1934 0.5000
Au3 0.8066 0.1934 0.5000
Au4 0.8066 0.6132 0.5000

The space-group type is P-6m2. The calculation puts the energy of formation at -8.598 kcal/mol of atoms.